Material: Mn2ZnPb
Method: DFT, PBE
State: optimized geometry

```
Mn2ZnPb
1.0
0.000 3.280 3.280
3.280 0.000 3.280
3.280 3.280 0.000
Mn Zn Pb
2 1 1
Cartesian
0.000 0.000 0.000
1.640 1.640 1.640
3.280 3.280 3.280
4.920 4.920 4.920
```

Results
SG: F-43m
Crystal system: cubic
Electronic total energy: -21.06 eV/f.u.
Distance to the lowest polymorph of the same formula: 219 meV per atom

=====

Material: Mn2ZnPb
Method: DFT, PBE
State: optimized geometry

```
Mn2ZnPb
1.0
-1.964 1.964 4.426
1.964 -1.964 4.426
1.964 1.964 -4.426
Mn Zn Pb
2 1 1
Cartesian
0.000 0.000 0.000
0.000 1.964 2.213
1.964 0.000 2.213
0.000 0.000 4.426
```

Results
SG: I-4m2
Crystal system: tetragonal
Electronic total energy: -21.90 eV/f.u.
Distance to the lowest polymorph of the same formula: 8 meV per atom

=====

Copy entry 2 word for word.
Material: Mn2ZnPb
Method: DFT, PBE
State: optimized geometry

```
Mn2ZnPb
1.0
-1.964 1.964 4.426
1.964 -1.964 4.426
1.964 1.964 -4.426
Mn Zn Pb
2 1 1
Cartesian
0.000 0.000 0.000
0.000 1.964 2.213
1.964 0.000 2.213
0.000 0.000 4.426
```

Results
SG: I-4m2
Crystal system: tetragonal
Electronic total energy: -21.90 eV/f.u.
Distance to the lowest polymorph of the same formula: 8 meV per atom